# 1
The following is a DFT calculation (PBE-GGA) of a relaxed structure of TlBNO2.

a = 4.145 Å, b = 4.145 Å, c = 2.900 Å
α = 90.00°, β = 90.00°, γ = 90.00°
Last column: magnetic moment on the atom in μB.
Atoms (fractional coordinates):
N 0.000 0.000 0.500  0.61
Tl 0.500 0.500 0.500  0.00
B 0.000 0.000 0.000  -0.05
O 0.000 0.500 0.000  0.23
O 0.500 0.000 0.000  0.23

Calculated total energy in eV for the cell shown: -26.23
SG: P4/mmm, No. 123
DOS at the Fermi energy in states/eV per atom: 0.3833
Formation energy (no corrections) in eV/atom: 0.2108
V in Å³/cell: 49.8


# 2
The following is a DFT calculation (PBE-GGA) of a relaxed structure of Th6As2OsS3.

a = 4.114 Å, b = 8.377 Å, c = 9.265 Å
α = 101.62°, β = 102.83°, γ = 90.00°
Atoms (fractional coordinates):
S 0.832 0.167 0.663
S 0.168 0.833 0.337
S 0.500 0.500 0.000
As 0.167 0.336 0.334
As 0.833 0.664 0.666
Th 0.998 0.233 0.997
Th 0.665 0.590 0.330
Th 0.664 0.076 0.329
Th 0.002 0.767 0.003
Th 0.335 0.410 0.670
Th 0.336 0.924 0.671
Os 0.500 0.000 0.000

Calculated total energy in eV for the cell shown: -94.42
SG: C2/m, No. 12
DOS at the Fermi energy in states/eV per atom: 0.7640
Formation energy (no corrections) in eV/atom: -1.4161
V in Å³/cell: 304.6


# 3
The following is a DFT calculation (PBE-GGA) of a relaxed structure of K2HgMo.

a = 2.995 Å, b = 2.995 Å, c = 11.945 Å
α = 90.00°, β = 90.00°, γ = 82.59°
Last column: magnetic moment on the atom in μB.
Atoms (fractional coordinates):
Mo 0.500 0.500 0.250  0.26
K 0.000 0.000 0.007  0.01
K 0.000 0.000 0.493  0.01
Hg 0.500 0.500 0.750  0.00

Calculated total energy in eV for the cell shown: -9.53
SG: Cmmm, No. 65
DOS at the Fermi energy in states/eV per atom: 1.1583
Formation energy in meV per atom: 950
V in Å³/cell: 106.3


# 4
The following is a DFT calculation (PBE-GGA) of a relaxed structure of NaGaPb.

a = 7.021 Å, b = 7.021 Å, c = 8.025 Å
α = 90.00°, β = 90.00°, γ = 90.00°
Atoms (fractional coordinates):
Na 0.000 0.712 0.000
Na 0.000 0.288 0.500
Na 0.288 0.000 0.250
Na 0.712 0.000 0.750
Pb 0.253 0.500 0.250
Pb 0.747 0.500 0.750
Pb 0.500 0.747 0.000
Pb 0.500 0.253 0.500
Ga 0.343 0.657 0.625
Ga 0.657 0.657 0.375
Ga 0.343 0.343 0.875
Ga 0.657 0.343 0.125

Calculated total energy in eV for the cell shown: -31.19
SG: P4_122, No. 91
DOS at the Fermi energy in states/eV per atom: 0.1114
Formation energy in meV per atom: 86
V in Å³/cell: 395.6


# 5
The following is a DFT calculation (PBE-GGA) of a relaxed structure of Al3GaW.

a = 5.637 Å, b = 8.917 Å, c = 8.917 Å
α = 61.02°, β = 108.24°, γ = 108.24°
Atoms (fractional coordinates):
Al 0.405 0.407 0.406
Al 0.095 0.093 0.093
Al 0.750 0.500 0.000
Al 0.905 0.907 0.907
Al 0.095 0.594 0.593
Al 0.750 0.000 0.500
Al 0.405 0.907 0.907
Al 0.250 0.000 0.500
Al 0.250 0.500 0.000
Al 0.905 0.406 0.407
Al 0.595 0.093 0.093
Al 0.595 0.593 0.594
W 0.000 0.750 0.750
W 0.500 0.750 0.750
W 0.500 0.250 0.250
W 0.000 0.250 0.250
Ga 0.750 0.250 0.750
Ga 0.250 0.750 0.250
Ga 0.250 0.250 0.750
Ga 0.750 0.750 0.250

Calculated total energy in eV for the cell shown: -107.25
SG: P2/m, No. 10
DOS at the Fermi energy in states/eV per atom: 0.5185
Formation energy in meV per atom: 79
Offset from the most stable computed form in meV/atom: 0
V in Å³/cell: 365.3


# 6
The following is a DFT calculation (PBE-GGA) of a relaxed structure of ZrVRu2C.

a = 4.113 Å, b = 4.072 Å, c = 4.113 Å
α = 90.00°, β = 90.00°, γ = 90.00°
Atoms (fractional coordinates):
C 0.000 0.000 0.000
V 0.000 0.500 0.000
Ru 0.000 0.000 0.500
Ru 0.500 0.000 0.000
Zr 0.500 0.500 0.500

Calculated total energy in eV for the cell shown: -46.72
SG: P4/mmm, No. 123
DOS at the Fermi energy in states/eV per atom: 0.8127
Formation energy in meV per atom: -255
V in Å³/cell: 68.9


# 7
The following is a DFT calculation (PBE-GGA) of a relaxed structure of Rb2NdAuCl6.

a = 7.745 Å, b = 7.745 Å, c = 7.745 Å
α = 60.00°, β = 60.00°, γ = 60.00°
Atoms (fractional coordinates):
Rb 0.250 0.250 0.250
Rb 0.750 0.750 0.750
Cl 0.249 0.751 0.249
Cl 0.751 0.249 0.751
Cl 0.751 0.249 0.249
Cl 0.751 0.751 0.249
Cl 0.249 0.751 0.751
Cl 0.249 0.249 0.751
Au 0.500 0.500 0.500
Nd 0.000 0.000 0.000

Calculated total energy in eV for the cell shown: -37.56
SG: Fm-3m, No. 225
DOS at the Fermi energy in states/eV per atom: 0.0000
Formation energy (no corrections) in eV/atom: -1.6505
V in Å³/cell: 328.5


What did the fourth record say?
The following is a DFT calculation (PBE-GGA) of a relaxed structure of NaGaPb.

a = 7.021 Å, b = 7.021 Å, c = 8.025 Å
α = 90.00°, β = 90.00°, γ = 90.00°
Atoms (fractional coordinates):
Na 0.000 0.712 0.000
Na 0.000 0.288 0.500
Na 0.288 0.000 0.250
Na 0.712 0.000 0.750
Pb 0.253 0.500 0.250
Pb 0.747 0.500 0.750
Pb 0.500 0.747 0.000
Pb 0.500 0.253 0.500
Ga 0.343 0.657 0.625
Ga 0.657 0.657 0.375
Ga 0.343 0.343 0.875
Ga 0.657 0.343 0.125

Calculated total energy in eV for the cell shown: -31.19
SG: P4_122, No. 91
DOS at the Fermi energy in states/eV per atom: 0.1114
Formation energy in meV per atom: 86
V in Å³/cell: 395.6